Density functional theory data (PBE) for a relaxed YLuSn crystal.

The space group is No. 156.

a b c (Å): 3.778 5.086 5.086
angles (deg): 120.00 90.00 90.00
Positions (direct):
Y 0.376 0.333 0.667
Lu 0.921 0.000 0.000
Sn 0.703 0.667 0.333


Density functional theory data (PBE) for a relaxed NdDy3Pb3 crystal.

The space group is No. 176.

a b c (Å): 5.565 9.325 9.325
angles (deg): 120.00 90.00 90.00
Positions (direct):
Pb 0.750 0.626 0.550
Pb 0.750 0.924 0.374
Pb 0.250 0.076 0.626
Pb 0.250 0.550 0.924
Pb 0.250 0.374 0.450
Pb 0.750 0.450 0.076
Dy 0.250 0.994 0.230
Dy 0.750 0.006 0.770
Dy 0.750 0.230 0.236
Dy 0.750 0.764 0.994
Dy 0.250 0.236 0.006
Dy 0.250 0.770 0.764
Nd 0.250 0.667 0.333
Nd 0.750 0.333 0.667


The calculation returns the following E_tot values, one per record and in order: -16.1 -64.6 eV for the cell shown.
The calculation returns the following density values, one per record and in order: 7.5 9.9 Mg/m³.
The calculation returns the following ΔE_f values, one per record and in order: -0.3546 -0.3740 eV/atom.